Entry from Alexandria via LeMat-Bulk: crystalline Ta2ZnIn at its relaxed geometry (PBEsol).

Output
DFT formation energy = 180 meV per atom
Crystal system = tetragonal
Energy = -7.24 eV/atom

Unit cell a=5.210 b=5.210 c=5.210 alpha=135.01 beta=135.01 gamma=65.51
Element x y z (fractional)
1 Ta 0.000 0.000 0.000
2 Ta 0.750 0.250 0.500
3 Zn 0.500 0.500 0.000
4 In 0.250 0.750 0.500